1.
# Hg2AsPt

A geometry-optimized Hg2AsPt structure (PBE-GGA, Alexandria via LeMat-Bulk).

a = 5.3552 Å, b = 3.5379 Å, c = 5.7147 Å
α = 90.00°, β = 117.53°, γ = 90.00°
Space group Pm (No. 6)
Symmetry-distinct sites (fractional):
1 Hg 0.0000 0.0000 0.0000 [1 per cell]
2 Hg 0.3080 0.5000 0.6190 [1 per cell]
3 As 0.6942 0.5000 0.3895 [1 per cell]
4 Pt 0.5331 0.0000 0.0670 [1 per cell]

Properties
density	11.6	g cm⁻³
N(E_F)	0.38	states/eV per atom
formation energy from the elements	-0.10	eV/f.u.

---

2.
# HgAsPt2

A geometry-optimized HgAsPt2 structure (PBE-GGA, Alexandria via LeMat-Bulk).

a = 2.9975 Å, b = 3.7415 Å, c = 13.6786 Å
α = 90.00°, β = 90.00°, γ = 90.00°
Space group Imm2 (No. 44)
Symmetry-distinct sites (fractional):
1 Hg 0.0000 0.0000 0.0000 [2 per cell]
2 As 0.0000 0.5000 0.7351 [2 per cell]
3 Pt 0.0000 0.0000 0.3831 [2 per cell]
4 Pt 0.0000 0.5000 0.1627 [2 per cell]

Properties
density	14.4	g cm⁻³
N(E_F)	0.41	states/eV per atom
formation energy from the elements	-0.08	eV/f.u.

---

3.
# HgAsPt2

A geometry-optimized HgAsPt2 structure (PBE-GGA, Alexandria via LeMat-Bulk).

a = 3.0706 Å, b = 4.6175 Å, c = 5.0382 Å
α = 90.00°, β = 90.00°, γ = 90.00°
Space group Pmmm (No. 47)
Symmetry-distinct sites (fractional):
1 Hg 0.0000 0.0000 0.0000 [1 per cell]
2 As 0.5000 0.0000 0.5000 [1 per cell]
3 Pt 0.0000 0.5000 0.5000 [1 per cell]
4 Pt 0.5000 0.5000 0.0000 [1 per cell]

Properties
density	15.5	g cm⁻³
N(E_F)	0.60	states/eV per atom
formation energy from the elements	0.77	eV/f.u.

---

Question: The highest density belongs to which entry?
Answer: number 3